A geometry-optimized CoMo2Pd structure. Source: Alexandria, functional PBE.

total moment	0.000	μB/f.u.
energy above the most stable polymorph in this dataset	5.026	kcal/mol of atoms
DFT total energy	-7.86	eV/atom
ΔE_f	0.630	eV/atom

Cell: 3.5921 3.5921 6.1631 Å, 73.06 73.06 60.00°
Closest atoms and distances in Å follow each position.
Element x y z (fractional)
Mo  0.2675  0.2675  0.1976  3 Co 2.33
Mo  0.0671  0.0671  0.7986  3 Co 2.42
Co  0.6619  0.6619  0.0143  6 Mo 2.33-2.42
Pd  0.5035  0.5035  0.4896  6 Mo 2.68-2.74, 1 Co 2.76